A relaxed structure of ZrAl3Se, computed with PBE.

a = 5.333 Å, b = 5.333 Å, c = 5.333 Å
α = 90.00°, β = 90.00°, γ = 90.00°
Element x y z (fractional)
Zr: 0.000 0.000 0.000
Se: 0.500 0.500 0.500
Al: 0.000 0.000 0.500
Al: 0.000 0.500 0.000
Al: 0.500 0.000 0.000

Summary:
DFT total energy = -18.05 eV per formula unit
offset from the most stable computed form = 0.449 eV/atom
formation energy without anion corrections = 502.7 kJ/mol of formula units



A relaxed structure of ZrAl2Se6, computed with PBE.

a = 7.204 Å, b = 8.558 Å, c = 8.558 Å
α = 90.56°, β = 79.68°, γ = 79.68°
Element x y z (fractional)
Se: 0.114 0.824 0.945
Se: 0.386 0.055 0.176
Se: 0.079 0.476 0.357
Se: 0.806 0.933 0.396
Se: 0.614 0.945 0.824
Se: 0.579 0.357 0.476
Se: 0.194 0.067 0.604
Se: 0.421 0.643 0.524
Se: 0.694 0.604 0.067
Se: 0.306 0.396 0.933
Se: 0.886 0.176 0.055
Se: 0.921 0.524 0.643
Zr: 0.750 0.892 0.108
Zr: 0.250 0.108 0.892
Al: 0.188 0.597 0.772
Al: 0.812 0.403 0.228
Al: 0.688 0.772 0.597
Al: 0.312 0.228 0.403

Summary:
DFT total energy = -43.94 eV per formula unit
formation energy without anion corrections = -675.2 kJ/mol of formula units



A relaxed structure of AlSi, computed with PBE.

a = 5.738 Å, b = 5.738 Å, c = 5.738 Å
α = 90.00°, β = 90.00°, γ = 90.00°
Element x y z (fractional)
Si: 0.500 0.500 0.000
Si: 0.500 0.000 0.500
Si: 0.000 0.500 0.500
Si: 0.000 0.000 0.000
Al: 0.250 0.750 0.750
Al: 0.250 0.250 0.250
Al: 0.750 0.250 0.750
Al: 0.750 0.750 0.250

Summary:
DFT total energy = -8.33 eV per formula unit
formation energy without anion corrections = 80.6 kJ/mol of formula units